[1]
A relaxed LiSeN2F crystal. Source: Alexandria via LeMat-Bulk, functional GGA-PBE.

a b c (Å): 3.530 3.530 4.814
angles (deg): 90.00 90.00 90.00
Positions (direct):
Li: 0.000 0.000 0.000
Se: 0.000 0.000 0.500
N: 0.000 0.500 0.000
N: 0.500 0.000 0.000
F: 0.500 0.500 0.500

Computed properties:
Raw formation energy ... 7.94 eV per formula unit
Distance to the lowest polymorph of the same formula ... 1.118 eV/atom



[2]
A relaxed Nd2PuTh crystal. Source: Alexandria via LeMat-Bulk, functional GGA-PBE.

a b c (Å): 4.952 4.952 5.198
angles (deg): 90.00 90.00 90.00
Positions (direct):
Nd: 0.000 0.500 0.000
Nd: 0.500 0.000 0.000
Pu: 0.000 0.000 0.500
Th: 0.500 0.500 0.500

Computed properties:
Distance to the lowest polymorph of the same formula ... 0.000 eV/atom